Record 1
A relaxed structure of BeGaPt3, computed with GGA-PBE.

abc: 4.5893 4.5893 4.5893
angles: 90.00 90.00 90.00
Closest atoms and distances in Å follow each position.
Fractional positions:
Pt1 0.5000 0.0000 0.0000  2 Ga 2.29
Pt2 0.0000 0.0000 0.5000  2 Ga 2.29
Pt3 0.0000 0.5000 0.0000  2 Ga 2.29
Ga1 0.0000 0.0000 0.0000  6 Pt 2.29
Be1 0.5000 0.5000 0.5000  12 Pt 3.25

Calculated values
- SG: Pm-3m
- Uncorrected energy: -21.0 eV/f.u.
- Crystal system: cubic
- Relative energy among the computed polymorphs: 889.8 meV per atom
- Calculated formation energy: 0.78 eV per atom
- Total magnetization: 0.0 μB/cell



Record 2
A relaxed structure of ScMnBe, computed with GGA-PBE.

abc: 4.3061 4.3061 4.3061
angles: 60.00 60.00 60.00
Closest atoms and distances in Å follow each position.
Fractional positions:
Mn1 0.5000 0.5000 0.5000  4 Sc 2.64
Be1 0.0000 0.0000 0.0000  4 Sc 2.64
Sc1 0.7500 0.7500 0.7500  4 Be 2.64, 4 Mn 2.64

Calculated values
- SG: F-43m
- Uncorrected energy: -16.2 eV/f.u.
- Crystal system: cubic
- Relative energy among the computed polymorphs: 1128.3 meV per atom
- Calculated formation energy: 1.00 eV per atom
- Total magnetization: 3.4 μB/cell



N(E_F) values (in states/eV per cell) by entry order: 3.25 3.19.